[1]
Crystalline SrHfTa2Ru at its relaxed geometry, computed with PBE-GGA.

Output
For the theoretical density, the calculation gives 10.88 g cm⁻³. The formation energy is 2892 meV/atom.

a = 4.7582 Å, b = 4.7582 Å, c = 4.9156 Å
α = 90.00°, β = 90.00°, γ = 90.00°
Space group P4/mmm (No. 123)
Inequivalent atoms, fractional coordinates:
Sr 0.0000 0.0000 0.0000 x1
Hf 0.0000 0.0000 0.5000 x1
Ta 0.0000 0.5000 0.0000 x2
Ru 0.5000 0.5000 0.5000 x1

[2]
Crystalline AgBBr3 at its relaxed geometry, computed with PBE-GGA.

Output
The uncorrected formation energy comes out at 214 kJ/mol of formula units. The energy above the most stable polymorph in this dataset is 786 meV per atom. For the theoretical density, the calculation gives 5.42 g cm⁻³.

a = 4.7879 Å, b = 4.7879 Å, c = 4.7879 Å
α = 90.00°, β = 90.00°, γ = 90.00°
Space group Pm-3m (No. 221)
Inequivalent atoms, fractional coordinates:
Ag 0.0000 0.0000 0.0000 x1
B 0.5000 0.5000 0.5000 x1
Br 0.0000 0.5000 0.5000 x3

[3]
Crystalline TbSm2PaS4 at its relaxed geometry, computed with PBE-GGA.

Output
The uncorrected formation energy comes out at -1464 kJ/mol of formula units. For the theoretical density, the calculation gives 7.76 g cm⁻³.

a = 6.8593 Å, b = 3.9355 Å, c = 6.8665 Å
α = 90.00°, β = 109.11°, γ = 90.00°
Space group P2/m (No. 10)
Inequivalent atoms, fractional coordinates:
Tb 0.0000 0.0000 0.0000 x1
Sm 0.5000 0.0000 0.5000 x1
Sm 0.5000 0.5000 0.0000 x1
Pa 0.0000 0.5000 0.5000 x1
S 0.2420 0.5000 0.2482 x2
S 0.2433 0.0000 0.7481 x2